Record 1
Below is a relaxed K2BiPb2 crystal, with properties calculated at the PBE level.

The structure in CIF format:
```
data_K2BiPb2
_chemical_formula_sum 'K4 Bi2 Pb4'
_cell_length_a 4.340
_cell_length_b 4.340
_cell_length_c 22.696
_cell_angle_alpha 90.00
_cell_angle_beta 90.00
_cell_angle_gamma 90.00
_symmetry_space_group_name_H-M 'I 4/m m m'
_symmetry_Int_Tables_number 139
_symmetry_space_group_name_Hall '-I 4 2'
loop_
_atom_site_label
_atom_site_fract_x
_atom_site_fract_y
_atom_site_fract_z
_atom_site_occupancy
K1 0.000 0.000 0.095 1
Bi1 0.000 0.000 0.500 1
Pb1 0.000 0.500 0.250 1
```

The value obtained for the theoretical density is 5451 kg/m3. The energy above the most stable polymorph in this dataset comes out at 0.1756 eV per atom.

=====

Record 2
Below is a relaxed Pr3Mg7Ga4 crystal, with properties calculated at the PBE level.

The structure in CIF format:
```
data_Pr3Mg7Ga4
_chemical_formula_sum 'Pr6 Mg14 Ga8'
_cell_length_a 17.068
_cell_length_b 4.548
_cell_length_c 10.528
_cell_angle_alpha 90.00
_cell_angle_beta 126.31
_cell_angle_gamma 90.00
_symmetry_space_group_name_H-M 'C 1 2/m 1'
_symmetry_Int_Tables_number 12
loop_
_symmetry_equiv_pos_as_xyz
'x,y,z'
'-x,-y,-z'
'-x,y,-z'
'x,-y,z'
'x+1/2,y+1/2,z'
'-x+1/2,-y+1/2,-z'
'-x+1/2,y+1/2,-z'
'x+1/2,-y+1/2,z'
loop_
_atom_site_label
_atom_site_fract_x
_atom_site_fract_y
_atom_site_fract_z
_atom_site_occupancy
Pr1 0.000 0.000 0.000 1
Pr2 0.197 0.500 0.710 1
Mg1 0.000 0.000 0.500 1
Mg2 0.010 0.500 0.302 1
Mg3 0.164 0.000 0.429 1
Mg4 0.175 0.500 0.016 1
Ga1 0.121 0.000 0.837 1
Ga2 0.153 0.500 0.255 1
```

The value obtained for the theoretical density is 4396 kg/m3.

=====

Record 3
Below is a relaxed DyGe2Ru crystal, with properties calculated at the PBE level.

The structure in CIF format:
```
data_DyGe2Ru
_chemical_formula_sum 'Dy4 Ge8 Ru4'
_cell_length_a 6.747
_cell_length_b 4.267
_cell_length_c 11.051
_cell_angle_alpha 90.00
_cell_angle_beta 90.00
_cell_angle_gamma 90.00
_symmetry_space_group_name_H-M 'P n m a'
_symmetry_Int_Tables_number 62
loop_
_symmetry_equiv_pos_as_xyz
'x,y,z'
'-x,-y,-z'
'-x+1/2,-y,z+1/2'
'x+1/2,y,-z+1/2'
'x+1/2,-y+1/2,-z+1/2'
'-x+1/2,y+1/2,z+1/2'
'-x,y+1/2,-z'
'x,-y+1/2,z'
loop_
_atom_site_label
_atom_site_fract_x
_atom_site_fract_y
_atom_site_fract_z
_atom_site_occupancy
Dy1 0.073 0.250 0.149 1
Ge1 0.161 0.250 0.738 1
Ge2 0.226 0.250 0.505 1
Ru1 0.122 0.750 0.415 1
```

The value obtained for the theoretical density is 8537 kg/m3.

=====

Record 4
Below is a relaxed MgOsW crystal, with properties calculated at the PBE level.

The structure in CIF format:
```
data_MgOsW
_chemical_formula_sum 'Mg4 Os4 W4'
_cell_length_a 6.060
_cell_length_b 6.060
_cell_length_c 6.060
_cell_angle_alpha 90.00
_cell_angle_beta 90.00
_cell_angle_gamma 90.00
_symmetry_space_group_name_H-M 'F -4 3 m'
_symmetry_Int_Tables_number 216
_symmetry_space_group_name_Hall 'F -4 2 3'
loop_
_atom_site_label
_atom_site_fract_x
_atom_site_fract_y
_atom_site_fract_z
_atom_site_occupancy
Mg1 0.000 0.000 0.000 1
Os1 0.000 0.000 0.500 1
W1 0.250 0.250 0.750 1
```

The value obtained for the theoretical density is 11890 kg/m3. The energy above the most stable polymorph in this dataset comes out at 0.6339 eV per atom.

=====

no.,calculated total energy (eV for the cell shown),E_form (eV/atom),density of states at the Fermi level (states/eV/cell)
1,-27.21,-0.02,8.42
2,-85.14,-0.35,13.78
3,-99.48,-0.44,11.83
4,-93.67,0.79,12.36